1.
Here is an optimized crystal structure of Ba4LiHg5 from Alexandria. Energies are from PBE.

a = 4.108 Å, b = 4.108 Å, c = 20.220 Å
α = 90.00°, β = 90.00°, γ = 90.00°
Fractional coordinates of all 10 atoms:
Ba1 0.000 0.000 0.106
Ba2 0.000 0.000 0.320
Ba3 0.000 0.000 0.680
Ba4 0.000 0.000 0.894
Li1 0.000 0.000 0.500
Hg1 0.500 0.500 0.000
Hg2 0.500 0.500 0.214
Hg3 0.500 0.500 0.427
Hg4 0.500 0.500 0.573
Hg5 0.500 0.500 0.786

Results
As for the symmetry: P4/mmm (123). Its total energy is -1.56 eV per atom.

2.
Here is an optimized crystal structure of BaSbW2 from Alexandria. Energies are from PBE.

a = 5.311 Å, b = 5.311 Å, c = 6.227 Å
α = 99.78°, β = 99.78°, γ = 38.11°
Fractional coordinates of all 4 atoms:
Ba1 0.000 0.000 0.000
Sb1 0.500 0.500 0.500
W1 0.237 0.237 0.635
W2 0.763 0.763 0.365

Results
As for the symmetry: C2/m (12). The uncorrected formation energy is 0.71 eV per atom.

3.
Here is an optimized crystal structure of SrPuAg2O6 from Alexandria. Energies are from PBE.

a = 5.459 Å, b = 5.459 Å, c = 5.215 Å
α = 95.18°, β = 95.18°, γ = 87.10°
Fractional coordinates of all 10 atoms:
Sr1 0.000 0.000 0.000
Pu1 0.500 0.500 0.000
Ag1 0.000 0.500 0.500
Ag2 0.500 0.000 0.500
O1 0.211 0.598 0.191
O2 0.269 0.269 0.721
O3 0.402 0.789 0.809
O4 0.598 0.211 0.191
O5 0.731 0.731 0.279
O6 0.789 0.402 0.809

Results
As for the symmetry: C2/m (12). The uncorrected formation energy is -1.61 eV per atom.

4.
Here is an optimized crystal structure of Y2HgO from Alexandria. Energies are from PBE.

a = 6.288 Å, b = 6.288 Å, c = 6.288 Å
α = 114.63°, β = 114.63°, γ = 99.58°
Fractional coordinates of all 8 atoms:
Y1 0.029 0.625 0.904
Y2 0.375 0.279 0.404
Y3 0.721 0.125 0.096
Y4 0.875 0.971 0.596
Hg1 0.250 0.750 0.500
Hg2 0.500 0.500 0.000
O1 0.000 0.000 0.000
O2 0.750 0.250 0.500

Results
As for the symmetry: I-42d (122). The uncorrected formation energy is -1.57 eV per atom.

Number 1: theoretical density 7.59 g/cm3. Number 2: theoretical density 9.76 g/cm3. Number 3: theoretical density 6.94 g/cm3. Number 4: theoretical density 7.00 g/cm3.